# Mg2Zn2InAg2, optimized geometry, DFT GGA-PBE
# DFT formation energy = 0.216 eV/atom
# E = -12.67 eV per cell
data_Mg2Zn2InAg2
_chemical_formula_sum 'Mg2 Zn2 In1 Ag2'
_cell_length_a 4.4479
_cell_length_b 4.4479
_cell_length_c 10.9575
_cell_angle_alpha 90.00
_cell_angle_beta 90.00
_cell_angle_gamma 120.00
_space_group_name_H-M_alt 'P -3 m 1'
_space_group_IT_number 164
_space_group_name_Hall '-P 3 2"'
loop_
_atom_site_label
_atom_site_type_symbol
_atom_site_fract_x
_atom_site_fract_y
_atom_site_fract_z
Mg1 Mg 0.0000 0.0000 0.2357
Zn1 Zn 0.3333 0.6667 0.9107
In1 In 0.0000 0.0000 0.5000
Ag1 Ag 0.3333 0.6667 0.1526